No. 1
Density functional theory data (GGA-PBE) for a relaxed structure of Tb2PmTmTl2.

Values from the calculation:
The density of states at the Fermi level is 1.025 states/eV/atom. Its uncorrected energy is -4.1378 eV/atom.

The structure in CIF format:
```
data_Tb2PmTmTl2
_symmetry_space_group_name_H-M 'P m c 21'
_symmetry_Int_Tables_number 26
_cell_length_a 5.119
_cell_length_b 10.019
_cell_length_c 6.876
_cell_angle_alpha 90.00
_cell_angle_beta 90.00
_cell_angle_gamma 90.00
loop_
_symmetry_equiv_pos_as_xyz
'x,y,z'
'-x,-y,z+1/2'
'-x,y,z'
'x,-y,z+1/2'
loop_
_atom_site_label
_atom_site_type_symbol
_atom_site_fract_x
_atom_site_fract_y
_atom_site_fract_z
Tb1 Tb 0.000 0.046 0.000
Tb2 Tb 0.500 0.183 0.285
Pm1 Pm 0.500 0.455 0.906
Tm1 Tm 0.000 0.308 0.624
Tl1 Tl 0.000 0.368 0.170
Tl2 Tl 0.500 0.135 0.745
```

=====

No. 2
Density functional theory data (GGA-PBE) for a relaxed structure of TbPmTmTl.

Values from the calculation:
The relative energy among the computed polymorphs comes out at 126 meV/atom. The density of states at the Fermi level is 1.400 states/eV/atom. Its uncorrected energy is -4.1102 eV/atom.

The structure in CIF format:
```
data_TbPmTmTl
_symmetry_space_group_name_H-M 'F -4 3 m'
_symmetry_Int_Tables_number 216
_symmetry_space_group_name_Hall 'F -4 2 3'
_cell_length_a 7.779
_cell_length_b 7.779
_cell_length_c 7.779
_cell_angle_alpha 90.00
_cell_angle_beta 90.00
_cell_angle_gamma 90.00
loop_
_atom_site_label
_atom_site_type_symbol
_atom_site_fract_x
_atom_site_fract_y
_atom_site_fract_z
Tb1 Tb 0.000 0.000 0.000
Pm1 Pm 0.000 0.000 0.500
Tm1 Tm 0.250 0.250 0.250
Tl1 Tl 0.250 0.250 0.750
```

=====

No. 3
Density functional theory data (GGA-PBE) for a relaxed structure of TbPmTm2Tl2.

Values from the calculation:
The density of states at the Fermi level is 0.972 states/eV/atom. Its uncorrected energy is -4.1049 eV/atom.

The structure in CIF format:
```
data_TbPmTm2Tl2
_symmetry_space_group_name_H-M 'P m c 21'
_symmetry_Int_Tables_number 26
_cell_length_a 5.106
_cell_length_b 10.014
_cell_length_c 6.784
_cell_angle_alpha 90.00
_cell_angle_beta 90.00
_cell_angle_gamma 90.00
loop_
_symmetry_equiv_pos_as_xyz
'x,y,z'
'-x,-y,z+1/2'
'-x,y,z'
'x,-y,z+1/2'
loop_
_atom_site_label
_atom_site_type_symbol
_atom_site_fract_x
_atom_site_fract_y
_atom_site_fract_z
Tb1 Tb 0.000 0.191 0.000
Pm1 Pm 0.500 0.041 0.277
Tm1 Tm 0.000 0.459 0.368
Tm2 Tm 0.500 0.318 0.652
Tl1 Tl 0.000 0.142 0.535
Tl2 Tl 0.500 0.370 0.115
```

=====

No. 4
Density functional theory data (GGA-PBE) for a relaxed structure of Tb6Pm2Tm3Tl.

Values from the calculation:
The density of states at the Fermi level is 1.232 states/eV/atom. Its uncorrected energy is -4.4478 eV/atom.

The structure in CIF format:
```
data_Tb6Pm2Tm3Tl
_symmetry_space_group_name_H-M 'C 1 2/m 1'
_symmetry_Int_Tables_number 12
_cell_length_a 6.091
_cell_length_b 10.559
_cell_length_c 11.707
_cell_angle_alpha 90.00
_cell_angle_beta 100.02
_cell_angle_gamma 90.00
loop_
_symmetry_equiv_pos_as_xyz
'x,y,z'
'-x,-y,-z'
'-x,y,-z'
'x,-y,z'
'x+1/2,y+1/2,z'
'-x+1/2,-y+1/2,-z'
'-x+1/2,y+1/2,-z'
'x+1/2,-y+1/2,z'
loop_
_atom_site_label
_atom_site_type_symbol
_atom_site_fract_x
_atom_site_fract_y
_atom_site_fract_z
Tb1 Tb 0.244 0.000 0.247
Tb2 Tb 0.248 0.164 0.752
Pm1 Pm 0.000 0.334 0.500
Tm1 Tm 0.000 0.167 0.000
Tm2 Tm 0.000 0.500 0.000
Tl1 Tl 0.000 0.000 0.500
```

=====

No. 5
Density functional theory data (GGA-PBE) for a relaxed structure of TbPm2TmTl2.

Values from the calculation:
The density of states at the Fermi level is 1.048 states/eV/atom. Its uncorrected energy is -4.1582 eV/atom.

The structure in CIF format:
```
data_TbPm2TmTl2
_symmetry_space_group_name_H-M 'P m c 21'
_symmetry_Int_Tables_number 26
_cell_length_a 5.127
_cell_length_b 10.129
_cell_length_c 6.883
_cell_angle_alpha 90.00
_cell_angle_beta 90.00
_cell_angle_gamma 90.00
loop_
_symmetry_equiv_pos_as_xyz
'x,y,z'
'-x,-y,z+1/2'
'-x,y,z'
'x,-y,z+1/2'
loop_
_atom_site_label
_atom_site_type_symbol
_atom_site_fract_x
_atom_site_fract_y
_atom_site_fract_z
Tb1 Tb 0.000 0.043 0.000
Pm1 Pm 0.000 0.314 0.370
Pm2 Pm 0.500 0.456 0.095
Tm1 Tm 0.500 0.186 0.716
Tl1 Tl 0.000 0.356 0.837
Tl2 Tl 0.500 0.125 0.259
```

=====

No. 6
Density functional theory data (GGA-PBE) for a relaxed structure of TbPmTmTl.

Values from the calculation:
The relative energy among the computed polymorphs comes out at 0 meV/atom. The density of states at the Fermi level is 1.493 states/eV/atom. Its uncorrected energy is -4.2361 eV/atom.

The structure in CIF format:
```
data_TbPmTmTl
_symmetry_space_group_name_H-M 'P m m m'
_symmetry_Int_Tables_number 47
_cell_length_a 4.830
_cell_length_b 4.870
_cell_length_c 4.927
_cell_angle_alpha 90.00
_cell_angle_beta 90.00
_cell_angle_gamma 90.00
loop_
_symmetry_equiv_pos_as_xyz
'x,y,z'
'-x,-y,-z'
'-x,-y,z'
'x,y,-z'
'x,-y,-z'
'-x,y,z'
'-x,y,-z'
'x,-y,z'
loop_
_atom_site_label
_atom_site_type_symbol
_atom_site_fract_x
_atom_site_fract_y
_atom_site_fract_z
Tb1 Tb 0.000 0.000 0.000
Pm1 Pm 0.500 0.500 0.000
Tm1 Tm 0.000 0.500 0.500
Tl1 Tl 0.500 0.000 0.500
```

=====

No. 7
Density functional theory data (GGA-PBE) for a relaxed structure of TbPmYTl.

Values from the calculation:
The relative energy among the computed polymorphs comes out at 0 meV/atom. The density of states at the Fermi level is 1.327 states/eV/atom. Its uncorrected energy is -4.7465 eV/atom.

The structure in CIF format:
```
data_TbPmYTl
_symmetry_space_group_name_H-M 'P m m m'
_symmetry_Int_Tables_number 47
_cell_length_a 4.859
_cell_length_b 4.892
_cell_length_c 4.958
_cell_angle_alpha 90.00
_cell_angle_beta 90.00
_cell_angle_gamma 90.00
loop_
_symmetry_equiv_pos_as_xyz
'x,y,z'
'-x,-y,-z'
'-x,-y,z'
'x,y,-z'
'x,-y,-z'
'-x,y,z'
'-x,y,-z'
'x,-y,z'
loop_
_atom_site_label
_atom_site_type_symbol
_atom_site_fract_x
_atom_site_fract_y
_atom_site_fract_z
Tb1 Tb 0.000 0.000 0.000
Pm1 Pm 0.500 0.500 0.000
Y1 Y 0.000 0.500 0.500
Tl1 Tl 0.500 0.000 0.500
```

=====

No. 8
Density functional theory data (GGA-PBE) for a relaxed structure of Tb3Pm6Y2Tl.

Values from the calculation:
The density of states at the Fermi level is 1.221 states/eV/atom. Its uncorrected energy is -4.8218 eV/atom.

The structure in CIF format:
```
data_Tb3Pm6Y2Tl
_symmetry_space_group_name_H-M 'C 1 2/m 1'
_symmetry_Int_Tables_number 12
_cell_length_a 6.197
_cell_length_b 10.754
_cell_length_c 11.828
_cell_angle_alpha 90.00
_cell_angle_beta 100.17
_cell_angle_gamma 90.00
loop_
_symmetry_equiv_pos_as_xyz
'x,y,z'
'-x,-y,-z'
'-x,y,-z'
'x,-y,z'
'x+1/2,y+1/2,z'
'-x+1/2,-y+1/2,-z'
'-x+1/2,y+1/2,-z'
'x+1/2,-y+1/2,z'
loop_
_atom_site_label
_atom_site_type_symbol
_atom_site_fract_x
_atom_site_fract_y
_atom_site_fract_z
Tb1 Tb 0.000 0.000 0.000
Tb2 Tb 0.000 0.332 0.000
Pm1 Pm 0.244 0.500 0.250
Pm2 Pm 0.246 0.336 0.748
Y1 Y 0.000 0.166 0.500
Tl1 Tl 0.000 0.500 0.500
```

=====

No. 9
Density functional theory data (GGA-PBE) for a relaxed structure of TbPm2YTl2.

Values from the calculation:
The density of states at the Fermi level is 1.081 states/eV/atom. Its uncorrected energy is -4.5022 eV/atom.

The structure in CIF format:
```
data_TbPm2YTl2
_symmetry_space_group_name_H-M 'P m c 21'
_symmetry_Int_Tables_number 26
_cell_length_a 5.167
_cell_length_b 10.174
_cell_length_c 6.868
_cell_angle_alpha 90.00
_cell_angle_beta 90.00
_cell_angle_gamma 90.00
loop_
_symmetry_equiv_pos_as_xyz
'x,y,z'
'-x,-y,z+1/2'
'-x,y,z'
'x,-y,z+1/2'
loop_
_atom_site_label
_atom_site_type_symbol
_atom_site_fract_x
_atom_site_fract_y
_atom_site_fract_z
Tb1 Tb 0.000 0.184 0.000
Pm1 Pm 0.000 0.458 0.374
Pm2 Pm 0.500 0.313 0.646
Y1 Y 0.500 0.042 0.280
Tl1 Tl 0.000 0.129 0.534
Tl2 Tl 0.500 0.359 0.117
```

=====

No. 10
Density functional theory data (GGA-PBE) for a relaxed structure of Tb2PmYTl2.

Values from the calculation:
The density of states at the Fermi level is 1.059 states/eV/atom. Its uncorrected energy is -4.4831 eV/atom.

The structure in CIF format:
```
data_Tb2PmYTl2
_symmetry_space_group_name_H-M 'P m c 21'
_symmetry_Int_Tables_number 26
_cell_length_a 5.160
_cell_length_b 10.080
_cell_length_c 6.834
_cell_angle_alpha 90.00
_cell_angle_beta 90.00
_cell_angle_gamma 90.00
loop_
_symmetry_equiv_pos_as_xyz
'x,y,z'
'-x,-y,z+1/2'
'-x,y,z'
'x,-y,z+1/2'
loop_
_atom_site_label
_atom_site_type_symbol
_atom_site_fract_x
_atom_site_fract_y
_atom_site_fract_z
Tb1 Tb 0.000 0.044 0.000
Tb2 Tb 0.500 0.183 0.281
Pm1 Pm 0.500 0.458 0.910
Y1 Y 0.000 0.310 0.632
Tl1 Tl 0.000 0.364 0.169
Tl2 Tl 0.500 0.135 0.746
```

=====

No. 11
Density functional theory data (GGA-PBE) for a relaxed structure of TbPmYTl.

Values from the calculation:
The relative energy among the computed polymorphs comes out at 168 meV/atom. The density of states at the Fermi level is 1.338 states/eV/atom. Its uncorrected energy is -4.5787 eV/atom.

The structure in CIF format:
```
data_TbPmYTl
_symmetry_space_group_name_H-M 'F -4 3 m'
_symmetry_Int_Tables_number 216
_symmetry_space_group_name_Hall 'F -4 2 3'
_cell_length_a 7.798
_cell_length_b 7.798
_cell_length_c 7.798
_cell_angle_alpha 90.00
_cell_angle_beta 90.00
_cell_angle_gamma 90.00
loop_
_atom_site_label
_atom_site_type_symbol
_atom_site_fract_x
_atom_site_fract_y
_atom_site_fract_z
Tb1 Tb 0.000 0.000 0.000
Pm1 Pm 0.250 0.250 0.250
Y1 Y 0.000 0.000 0.500
Tl1 Tl 0.250 0.250 0.750
```

=====

No. 12
Density functional theory data (GGA-PBE) for a relaxed structure of Tb6Pm2Y3Tl.

Values from the calculation:
The density of states at the Fermi level is 1.326 states/eV/atom. Its uncorrected energy is -4.9444 eV/atom.

The structure in CIF format:
```
data_Tb6Pm2Y3Tl
_symmetry_space_group_name_H-M 'C 1 2/m 1'
_symmetry_Int_Tables_number 12
_cell_length_a 6.131
_cell_length_b 10.631
_cell_length_c 11.773
_cell_angle_alpha 90.00
_cell_angle_beta 100.05
_cell_angle_gamma 90.00
loop_
_symmetry_equiv_pos_as_xyz
'x,y,z'
'-x,-y,-z'
'-x,y,-z'
'x,-y,z'
'x+1/2,y+1/2,z'
'-x+1/2,-y+1/2,-z'
'-x+1/2,y+1/2,-z'
'x+1/2,-y+1/2,z'
loop_
_atom_site_label
_atom_site_type_symbol
_atom_site_fract_x
_atom_site_fract_y
_atom_site_fract_z
Tb1 Tb 0.245 0.000 0.250
Tb2 Tb 0.247 0.164 0.749
Pm1 Pm 0.000 0.334 0.500
Y1 Y 0.000 0.167 0.000
Y2 Y 0.000 0.500 0.000
Tl1 Tl 0.000 0.000 0.500
```

=====

Respective V values: 29.39, 29.42, 28.90, 30.89, 29.78, 28.97, 29.46, 32.33, 30.09, 29.62, 29.64, 31.49 Å³/atom.
Respective DFT formation energy values: -0.269, -0.056, -0.262, -0.026, -0.269, -0.181, -0.194, -0.014, -0.281, -0.282, -0.026, -0.024 eV per atom.
Respective ρ values: 9.8, 9.6, 10.1, 8.8, 9.5, 9.7, 8.4, 7.4, 8.7, 9.0, 8.4, 7.5 g cm⁻³.